# 1
A relaxed LiIn4Mo crystal, computed with PBE-GGA.

a = 5.729 Å, b = 5.729 Å, c = 5.729 Å
α = 60.00°, β = 60.00°, γ = 60.00°
Site moments in Bohr magnetons follow the coordinates.
Fractional coordinates of all 6 atoms:
1 Li 0.750 0.750 0.750  0.00
2 In 0.875 0.375 0.375  -0.05
3 In 0.375 0.375 0.875  -0.05
4 In 0.375 0.875 0.375  -0.05
5 In 0.375 0.375 0.375  -0.05
6 Mo 0.000 0.000 0.000  1.09

Output
As for the total energy: -3.444 eV/atom. For the spin magnetization, the calculation gives 0.1674 μB/atom.

***

# 2
A relaxed LiInMo2 crystal, computed with PBE-GGA.

a = 9.885 Å, b = 9.885 Å, c = 9.885 Å
α = 16.72°, β = 16.72°, γ = 16.72°
Fractional coordinates of all 4 atoms:
1 In 0.250 0.250 0.250
2 Li 0.750 0.750 0.750
3 Mo 0.000 0.000 0.000
4 Mo 0.500 0.500 0.500

Output
As for the total energy: -5.972 eV/atom. For the spin magnetization, the calculation gives 0.0001 μB/atom.

***

# 3
A relaxed LiInMo crystal, computed with PBE-GGA.

a = 5.354 Å, b = 5.354 Å, c = 5.354 Å
α = 149.67°, β = 139.34°, γ = 51.56°
Fractional coordinates of all 3 atoms:
1 In 0.012 0.012 0.000
2 Li 0.662 0.662 0.000
3 Mo 0.327 0.327 0.000

Output
As for the total energy: -4.776 eV/atom. For the spin magnetization, the calculation gives 0.0000 μB/atom.